K2LiAcI6: relaxed, PBE-GGA.

```
K2LiAcI6
1.0
8.3156 0.0000 0.0000
0.0000 8.8078 0.0000
-7.9969 0.0000 11.9063
K Li Ac I
4 2 2 12
Direct
0.2107 0.0864 0.2425 K
0.2107 0.4136 0.7425 K
0.7893 0.5864 0.2575 K
0.7893 0.9136 0.7575 K
0.0000 0.0000 0.5000 Li
0.0000 0.5000 0.0000 Li
0.5000 0.0000 0.0000 Ac
0.5000 0.5000 0.5000 Ac
0.1236 0.2022 0.9397 I
0.1236 0.2978 0.4397 I
0.2440 0.6895 0.9416 I
0.2440 0.8105 0.4416 I
0.3582 0.0316 0.7379 I
0.3582 0.4684 0.2379 I
0.6418 0.5316 0.7621 I
0.6418 0.9684 0.2621 I
0.7560 0.1895 0.5584 I
0.7560 0.3105 0.0584 I
0.8764 0.7022 0.5603 I
0.8764 0.7978 0.0603 I
```

Symmetry: P2_1/c (14)
ΔE_f (raw): -139 kJ/mol of atoms



SrCaCu2: relaxed, PBE-GGA.

```
SrCaCu2
1.0
5.1939 0.0000 0.0000
0.0000 5.1939 0.0000
0.0000 0.0000 3.6765
Sr Ca Cu
1 1 2
Direct
0.0000 0.0000 0.0000 Sr
0.5000 0.5000 0.0000 Ca
0.0000 0.5000 0.5000 Cu
0.5000 0.0000 0.5000 Cu
```

Excess energy over the best structure of this formula in the dataset: 0.111 eV/atom
Symmetry: P4/mmm (123)
Energy relative to the elements: 0.002 eV/atom



LaZr2Rh2: relaxed, PBE-GGA.

```
LaZr2Rh2
1.0
-2.4303 2.4303 5.0809
2.4303 -2.4303 5.0809
2.4303 2.4303 -5.0809
La Zr Rh
1 2 2
Direct
0.0000 0.0000 0.0000 La
0.3481 0.3481 0.0000 Zr
0.6519 0.6519 0.0000 Zr
0.2500 0.7500 0.5000 Rh
0.7500 0.2500 0.5000 Rh
```

Excess energy over the best structure of this formula in the dataset: 0.307 eV/atom
Symmetry: I4/mmm (139)
Energy relative to the elements: -0.324 eV/atom



Np2InB2Ru5: relaxed, PBE-GGA.

```
Np2InB2Ru5
1.0
9.7692 0.0000 0.0000
0.0000 9.7692 0.0000
0.0000 0.0000 3.1118
Np In B Ru
4 2 4 10
Direct
0.1772 0.3228 0.0000 Np
0.3228 0.8228 0.0000 Np
0.6772 0.1772 0.0000 Np
0.8228 0.6772 0.0000 Np
0.0000 0.0000 0.0000 In
0.5000 0.5000 0.0000 In
0.1206 0.6206 0.0000 B
0.3794 0.1206 0.0000 B
0.6206 0.8794 0.0000 B
0.8794 0.3794 0.0000 B
0.0000 0.5000 0.5000 Ru
0.0712 0.7737 0.5000 Ru
0.2263 0.0712 0.5000 Ru
0.2737 0.5712 0.5000 Ru
0.4288 0.2737 0.5000 Ru
0.5000 0.0000 0.5000 Ru
0.5712 0.7263 0.5000 Ru
0.7263 0.4288 0.5000 Ru
0.7737 0.9288 0.5000 Ru
0.9288 0.2263 0.5000 Ru
```

Symmetry: P4/mbm (127)
Energy relative to the elements: -0.287 eV/atom



KMgAgCl4: relaxed, PBE-GGA.

```
KMgAgCl4
1.0
6.6713 0.0000 0.0000
0.0000 7.2735 0.0000
-2.0384 0.0000 8.2401
K Mg Ag Cl
2 2 2 8
Direct
0.2418 0.2500 0.0542 K
0.7582 0.7500 0.9458 K
0.2480 0.7500 0.3229 Mg
0.7520 0.2500 0.6771 Mg
0.1694 0.2500 0.5307 Ag
0.8306 0.7500 0.4693 Ag
0.0040 0.0102 0.7166 Cl
0.0040 0.4898 0.7166 Cl
0.3762 0.7500 0.0926 Cl
0.4935 0.7500 0.5707 Cl
0.5065 0.2500 0.4293 Cl
0.6238 0.2500 0.9074 Cl
0.9960 0.5102 0.2834 Cl
0.9960 0.9898 0.2834 Cl
```

Symmetry: P2_1/m (11)
ΔE_f (raw): -139 kJ/mol of atoms



TcNi2Os: relaxed, PBE-GGA.

```
TcNi2Os
1.0
-1.8485 1.8485 3.7113
1.8485 -1.8485 3.7113
1.8485 1.8485 -3.7113
Tc Ni Os
1 2 1
Direct
0.0000 0.0000 0.0000 Tc
0.5000 0.5000 0.0000 Ni
0.7500 0.2500 0.5000 Ni
0.2500 0.7500 0.5000 Os
```

Excess energy over the best structure of this formula in the dataset: 0.000 eV/atom
Symmetry: I-4m2 (119)
Energy relative to the elements: 0.024 eV/atom



ThSi2Ni5Rh: relaxed, PBE-GGA.

```
ThSi2Ni5Rh
1.0
3.7516 0.0000 0.0000
0.0000 3.7516 0.0000
0.0000 0.0000 8.9929
Th Si Ni Rh
1 2 5 1
Direct
0.0000 0.0000 0.0000 Th
0.5000 0.5000 0.3745 Si
0.5000 0.5000 0.6255 Si
0.0000 0.5000 0.2338 Ni
0.0000 0.5000 0.7662 Ni
0.5000 0.0000 0.2338 Ni
0.5000 0.0000 0.7662 Ni
0.5000 0.5000 0.0000 Ni
0.0000 0.0000 0.5000 Rh
```

Symmetry: P4/mmm (123)
ΔE_f (raw): -27 kJ/mol of atoms



KAlSi2O6: relaxed, PBE-GGA.

```
KAlSi2O6
1.0
5.0107 -5.5540 0.0000
5.0107 5.5540 0.0000
-2.0807 0.0000 5.1098
K Al Si O
2 2 4 12
Direct
0.1065 0.8935 0.7500 K
0.8935 0.1065 0.2500 K
0.2397 0.7603 0.2500 Al
0.7603 0.2397 0.7500 Al
0.2158 0.3784 0.8541 Si
0.3784 0.2158 0.3541 Si
0.6216 0.7842 0.6459 Si
0.7842 0.6216 0.1459 Si
0.0037 0.7258 0.2558 O
0.2453 0.6046 0.9584 O
0.2742 0.9963 0.2442 O
0.2973 0.3145 0.5993 O
0.3145 0.2973 0.0993 O
0.3954 0.7547 0.5416 O
0.6046 0.2453 0.4584 O
0.6855 0.7027 0.9007 O
0.7027 0.6855 0.4007 O
0.7258 0.0037 0.7558 O
0.7547 0.3954 0.0416 O
0.9963 0.2742 0.7442 O
```

Symmetry: C2/c (15)
ΔE_f (raw): -263 kJ/mol of atoms



Y2PPt: relaxed, PBE-GGA.

```
Y2PPt
1.0
-2.0021 2.0021 5.3475
2.0021 -2.0021 5.3475
2.0021 2.0021 -5.3475
Y P Pt
2 1 1
Direct
0.0000 0.0000 0.0000 Y
0.7500 0.2500 0.5000 Y
0.2500 0.7500 0.5000 P
0.5000 0.5000 0.0000 Pt
```

Symmetry: I-4m2 (119)
Energy relative to the elements: -1.033 eV/atom



Ti2HgPt: relaxed, PBE-GGA.

```
Ti2HgPt
1.0
-3.7172 3.7172 2.7546
3.7172 -3.7172 2.7546
3.7172 3.7172 -2.7546
Ti Hg Pt
4 2 2
Direct
0.0846 0.6250 0.9596 Ti
0.3750 0.3346 0.4596 Ti
0.6654 0.1250 0.0404 Ti
0.8750 0.9154 0.5404 Ti
0.2500 0.7500 0.5000 Hg
0.5000 0.5000 0.0000 Hg
0.0000 0.0000 0.0000 Pt
0.7500 0.2500 0.5000 Pt
```

Symmetry: I-42d (122)
Energy relative to the elements: -0.064 eV/atom



Al3Au8: relaxed, PBE-GGA.

```
Al3Au8
1.0
4.8546 2.8028 2.6482
-4.8546 2.8028 2.6482
0.0000 -5.6056 2.6482
Al Au
3 8
Direct
0.0000 0.5000 0.5000 Al
0.5000 0.0000 0.5000 Al
0.5000 0.5000 0.0000 Al
0.0702 0.8530 0.3446 Au
0.1470 0.6554 0.9298 Au
0.3198 0.3198 0.3198 Au
0.3446 0.0702 0.8530 Au
0.6554 0.9298 0.1470 Au
0.6802 0.6802 0.6802 Au
0.8530 0.3446 0.0702 Au
0.9298 0.1470 0.6554 Au
```

Excess energy over the best structure of this formula in the dataset: 0.183 eV/atom
Symmetry: R-3 (148)
Energy relative to the elements: -0.096 eV/atom



Ba2GaAg2: relaxed, PBE-GGA.

```
Ba2GaAg2
1.0
-2.0044 2.0044 9.9482
2.0044 -2.0044 9.9482
2.0044 2.0044 -9.9482
Ba Ga Ag
2 1 2
Direct
0.1041 0.1041 0.0000 Ba
0.8959 0.8959 0.0000 Ba
0.5000 0.5000 0.0000 Ga
0.2500 0.7500 0.5000 Ag
0.7500 0.2500 0.5000 Ag
```

Excess energy over the best structure of this formula in the dataset: 0.120 eV/atom
Symmetry: I4/mmm (139)
Energy relative to the elements: -0.165 eV/atom



Fermi-level density of states readings, ordered: 0.00; 2.93; 6.18; 27.81; 0.00; 4.01; 2.87; 0.00; 2.00; 9.60; 5.23; 3.25 states/eV/cell
Size of the total moment readings, ordered: 0.000; 0.000; 0.558; 5.050; 0.000; 0.000; 0.000; 0.000; 0.000; 0.000; 0.000; 0.000 μB per formula unit